Entry 1:
Si3AgIr | the Alexandria database | PBE-GGA | relaxed; space group = Pm-3m (221); excess energy over the best structure of this formula in the dataset = 0 meV/atom
1.0
4.675 0.000 0.000
0.000 4.675 0.000
0.000 0.000 4.675
Si Ag Ir
3 1 1
direct
0.000 0.000 0.500
0.000 0.500 0.000
0.500 0.000 0.000
0.500 0.500 0.500
0.000 0.000 0.000



Entry 2:
SiAgIr2 | the Alexandria database | PBE-GGA | relaxed; space group = Cmmm (65); VASP energy = -6.35 eV/atom
1.0
5.761 0.000 0.000
0.000 7.005 0.000
0.000 0.000 2.900
Si Ag Ir
2 2 4
direct
0.000 0.000 0.000
0.500 0.500 0.000
0.000 0.500 0.000
0.500 0.000 0.000
0.250 0.250 0.500
0.250 0.750 0.500
0.750 0.250 0.500
0.750 0.750 0.500



Entry 3:
SiAgIr2 | the Alexandria database | PBE-GGA | relaxed; space group = Amm2 (38); VASP energy = -6.40 eV/atom
1.0
4.019 0.000 0.000
0.000 2.895 0.000
0.000 0.000 10.320
Si Ag Ir
2 2 4
direct
0.000 0.000 0.000
0.000 0.500 0.500
0.500 0.000 0.606
0.500 0.500 0.106
0.000 0.000 0.241
0.000 0.500 0.741
0.500 0.000 0.872
0.500 0.500 0.372



Entry 4:
SiAg2Ir | the Alexandria database | PBE-GGA | relaxed; space group = P4/mmm (123); VASP energy = -4.80 eV/atom
1.0
3.775 0.000 0.000
0.000 3.775 0.000
0.000 0.000 4.405
Si Ag Ir
1 2 1
direct
0.000 0.000 0.000
0.000 0.500 0.500
0.500 0.000 0.500
0.500 0.500 0.000



Entry 5:
SiAgIr2 | the Alexandria database | PBE-GGA | relaxed; space group = Pmmm (47); VASP energy = -6.20 eV/atom
1.0
2.792 0.000 0.000
0.000 4.493 0.000
0.000 0.000 4.825
Si Ag Ir
1 1 2
direct
0.000 0.000 0.000
0.500 0.000 0.500
0.000 0.500 0.500
0.500 0.500 0.000



Entry 6:
Si2AgIr | the Alexandria database | PBE-GGA | relaxed; space group = I-42d (122); excess energy over the best structure of this formula in the dataset = 273 meV/atom
1.0
5.780 0.000 0.000
0.000 5.780 0.000
0.000 0.000 10.265
Si Ag Ir
8 4 4
direct
0.214 0.250 0.125
0.250 0.714 0.375
0.250 0.786 0.875
0.286 0.250 0.625
0.714 0.750 0.625
0.750 0.214 0.875
0.750 0.286 0.375
0.786 0.750 0.125
0.000 0.000 0.500
0.000 0.500 0.750
0.500 0.000 0.250
0.500 0.500 0.000
0.000 0.000 0.000
0.000 0.500 0.250
0.500 0.000 0.750
0.500 0.500 0.500



Entry 7:
Si2AgIr | the Alexandria database | PBE-GGA | relaxed; space group = I-4m2 (119); excess energy over the best structure of this formula in the dataset = 274 meV/atom
1.0
3.826 0.000 0.000
0.000 3.826 0.000
0.000 0.000 8.099
Si Ag Ir
4 2 2
direct
0.000 0.000 0.000
0.000 0.500 0.250
0.500 0.000 0.750
0.500 0.500 0.500
0.000 0.500 0.750
0.500 0.000 0.250
0.000 0.000 0.500
0.500 0.500 0.000



Entry 8:
Si2AgIr | the Alexandria database | PBE-GGA | relaxed; space group = Pmmm (47); excess energy over the best structure of this formula in the dataset = 145 meV/atom
1.0
3.080 0.000 0.000
0.000 4.152 0.000
0.000 0.000 4.975
Si Ag Ir
2 1 1
direct
0.000 0.000 0.245
0.000 0.000 0.755
0.500 0.500 0.000
0.000 0.500 0.500



Entry 9:
SiAg2Ir | the Alexandria database | PBE-GGA | relaxed; space group = Pm (6); VASP energy = -5.04 eV/atom
1.0
2.873 0.000 0.000
0.000 3.544 0.000
-1.380 0.000 6.474
Si Ag Ir
1 2 1
direct
0.000 0.000 0.000
0.156 0.500 0.295
0.790 0.000 0.568
0.439 0.500 0.873



Entry 10:
Si2AgIr | the Alexandria database | PBE-GGA | relaxed; space group = Pm (6); excess energy over the best structure of this formula in the dataset = 9 meV/atom
1.0
2.995 0.000 0.000
0.000 4.751 0.000
-1.449 0.000 4.496
Si Ag Ir
2 1 1
direct
0.000 0.000 0.000
0.394 0.500 0.771
0.282 0.000 0.542
0.098 0.500 0.189



Entry 11:
SiAgIr2 | the Alexandria database | PBE-GGA | relaxed; space group = R-3m (166); VASP energy = -6.71 eV/atom
1.0
2.863 0.000 0.000
-1.431 2.479 0.000
0.000 0.000 25.433
Si Ag Ir
3 3 6
direct
0.000 0.000 0.000
0.333 0.667 0.667
0.667 0.333 0.333
0.000 0.000 0.500
0.333 0.667 0.167
0.667 0.333 0.833
0.000 0.000 0.264
0.000 0.000 0.736
0.333 0.667 0.403
0.333 0.667 0.930
0.667 0.333 0.070
0.667 0.333 0.597



Entry 12:
SiAg2Ir | the Alexandria database | PBE-GGA | relaxed; space group = P2/m (10); VASP energy = -4.79 eV/atom
1.0
2.876 0.000 0.000
0.000 5.107 0.000
-0.083 0.000 4.387
Si Ag Ir
1 2 1
direct
0.000 0.000 0.000
0.243 0.500 0.750
0.757 0.500 0.250
0.500 0.000 0.500



Entry 13:
SiAgIr2 | the Alexandria database | PBE-GGA | relaxed; space group = I-42d (122); VASP energy = -6.39 eV/atom
1.0
7.065 0.000 0.000
0.000 7.065 0.000
0.000 0.000 5.176
Si Ag Ir
4 4 8
direct
0.000 0.000 0.000
0.000 0.500 0.250
0.500 0.000 0.750
0.500 0.500 0.500
0.000 0.000 0.500
0.000 0.500 0.750
0.500 0.000 0.250
0.500 0.500 0.000
0.193 0.750 0.125
0.250 0.193 0.875
0.250 0.307 0.375
0.307 0.750 0.625
0.693 0.250 0.625
0.750 0.693 0.375
0.750 0.807 0.875
0.807 0.250 0.125



Entry 14:
SiAg2Ir | the Alexandria database | PBE-GGA | relaxed; space group = P4/mmm (123); VASP energy = -4.54 eV/atom
1.0
2.749 0.000 0.000
0.000 2.749 0.000
0.000 0.000 8.676
Si Ag Ir
1 2 1
direct
0.000 0.000 0.000
0.500 0.500 0.251
0.500 0.500 0.749
0.000 0.000 0.500



Entry 15:
Si2AgIr | the Alexandria database | PBE-GGA | relaxed; space group = Cmm2 (35); excess energy over the best structure of this formula in the dataset = 307 meV/atom
1.0
2.853 0.000 0.000
0.000 4.872 0.000
0.000 0.000 8.950
Si Ag Ir
4 2 2
direct
0.000 0.000 0.000
0.000 0.500 0.236
0.500 0.000 0.236
0.500 0.500 0.000
0.000 0.500 0.731
0.500 0.000 0.731
0.000 0.000 0.448
0.500 0.500 0.448



Entry 16:
SiAg2Ir | the Alexandria database | PBE-GGA | relaxed; space group = I4/mmm (139); VASP energy = -4.75 eV/atom
1.0
3.725 0.000 0.000
0.000 3.725 0.000
0.000 0.000 9.195
Si Ag Ir
2 4 2
direct
0.000 0.000 0.000
0.500 0.500 0.500
0.000 0.500 0.250
0.000 0.500 0.750
0.500 0.000 0.250
0.500 0.000 0.750
0.000 0.000 0.500
0.500 0.500 0.000



Entry 17:
SiAgIr2 | the Alexandria database | PBE-GGA | relaxed; space group = Pmm2 (25); VASP energy = -6.35 eV/atom
1.0
2.754 0.000 0.000
0.000 3.749 0.000
0.000 0.000 6.021
Si Ag Ir
1 1 2
direct
0.000 0.000 0.000
0.500 0.500 0.327
0.000 0.000 0.594
0.500 0.500 0.856



Entry 18:
Si2AgIr | the Alexandria database | PBE-GGA | relaxed; space group = C2/m (12); excess energy over the best structure of this formula in the dataset = 325 meV/atom
1.0
5.581 0.000 0.000
0.000 8.402 0.000
-1.355 0.000 2.666
Si Ag Ir
4 2 2
direct
0.250 0.250 0.000
0.250 0.750 0.000
0.750 0.250 0.000
0.750 0.750 0.000
0.000 0.000 0.000
0.500 0.500 0.000
0.000 0.500 0.000
0.500 0.000 0.000



Entry 19:
SiAgIr2 | the Alexandria database | PBE-GGA | relaxed; space group = P4mm (99); VASP energy = -6.34 eV/atom
1.0
2.807 0.000 0.000
0.000 2.807 0.000
0.000 0.000 7.725
Si Ag Ir
1 1 2
direct
0.000 0.000 0.000
0.500 0.500 0.271
0.000 0.000 0.550
0.500 0.500 0.803



Entry 20:
SiAgIr2 | the Alexandria database | PBE-GGA | relaxed; space group = Cmm2 (35); VASP energy = -6.25 eV/atom
1.0
2.775 0.000 0.000
0.000 4.849 0.000
0.000 0.000 9.152
Si Ag Ir
2 2 4
direct
0.000 0.000 0.000
0.500 0.500 0.000
0.000 0.500 0.258
0.500 0.000 0.258
0.000 0.000 0.529
0.000 0.500 0.786
0.500 0.000 0.786
0.500 0.500 0.529



Entry 21:
SiAg2Ir | the Alexandria database | PBE-GGA | relaxed; space group = Cmm2 (35); VASP energy = -4.87 eV/atom
1.0
2.935 0.000 0.000
0.000 4.896 0.000
0.000 0.000 9.074
Si Ag Ir
2 4 2
direct
0.000 0.000 0.000
0.500 0.500 0.000
0.000 0.000 0.524
0.000 0.500 0.251
0.500 0.000 0.251
0.500 0.500 0.524
0.000 0.500 0.797
0.500 0.000 0.797



Entry 22:
SiAgIr2 | the Alexandria database | PBE-GGA | relaxed; space group = Cmmm (65); VASP energy = -6.52 eV/atom
1.0
2.890 0.000 0.000
0.000 4.853 0.000
0.000 0.000 8.750
Si Ag Ir
2 2 4
direct
0.000 0.000 0.000
0.500 0.500 0.000
0.000 0.000 0.500
0.500 0.500 0.500
0.000 0.500 0.211
0.000 0.500 0.789
0.500 0.000 0.211
0.500 0.000 0.789



Entry 23:
SiAg2Ir | the Alexandria database | PBE-GGA | relaxed; space group = I-42d (122); VASP energy = -4.65 eV/atom
1.0
3.685 0.000 0.000
0.000 3.685 0.000
0.000 0.000 19.938
Si Ag Ir
4 8 4
direct
0.000 0.000 0.000
0.000 0.500 0.250
0.500 0.000 0.750
0.500 0.500 0.500
0.250 0.250 0.125
0.250 0.250 0.625
0.250 0.750 0.375
0.250 0.750 0.875
0.750 0.250 0.375
0.750 0.250 0.875
0.750 0.750 0.125
0.750 0.750 0.625
0.000 0.000 0.500
0.000 0.500 0.750
0.500 0.000 0.250
0.500 0.500 0.000



Entry 24:
SiAg2Ir | the Alexandria database | PBE-GGA | relaxed; space group = Imm2 (44); VASP energy = -4.87 eV/atom
1.0
3.525 0.000 0.000
0.000 4.485 0.000
0.000 0.000 8.276
Si Ag Ir
2 4 2
direct
0.000 0.000 0.000
0.500 0.500 0.500
0.000 0.000 0.533
0.000 0.500 0.745
0.500 0.000 0.245
0.500 0.500 0.033
0.000 0.500 0.319
0.500 0.000 0.819



Entry 25:
SiAgIr2 | the Alexandria database | PBE-GGA | relaxed; space group = P2/m (10); VASP energy = -6.55 eV/atom
1.0
2.920 0.000 0.000
0.000 3.894 0.000
-1.415 0.000 5.276
Si Ag Ir
1 1 2
direct
0.000 0.000 0.000
0.000 0.000 0.500
0.363 0.500 0.225
0.637 0.500 0.775



Entry 26:
SiAgIr2 | the Alexandria database | PBE-GGA | relaxed; space group = I-4m2 (119); VASP energy = -6.20 eV/atom
1.0
3.912 0.000 0.000
0.000 3.912 0.000
0.000 0.000 7.768
Si Ag Ir
2 2 4
direct
0.000 0.000 0.000
0.500 0.500 0.500
0.000 0.500 0.750
0.500 0.000 0.250
0.000 0.000 0.500
0.000 0.500 0.250
0.500 0.000 0.750
0.500 0.500 0.000



Entry 27:
Si2AgIr | the Alexandria database | PBE-GGA | relaxed; space group = P4/mmm (123); excess energy over the best structure of this formula in the dataset = 131 meV/atom
1.0
2.894 0.000 0.000
0.000 2.894 0.000
0.000 0.000 7.487
Si Ag Ir
2 1 1
direct
0.000 0.000 0.213
0.000 0.000 0.787
0.500 0.500 0.500
0.500 0.500 0.000



Entry 28:
SiAg2Ir2 | the Alexandria database | PBE-GGA | relaxed; space group = P4/mbm (127); VASP energy = -5.81 eV/atom
1.0
6.066 0.000 0.000
0.000 6.066 0.000
0.000 0.000 4.582
Si Ag Ir
2 4 4
direct
0.000 0.000 0.000
0.500 0.500 0.000
0.169 0.331 0.500
0.331 0.831 0.500
0.669 0.169 0.500
0.831 0.669 0.500
0.146 0.646 0.000
0.354 0.146 0.000
0.646 0.854 0.000
0.854 0.354 0.000



Entry 29:
SiAg2Ir | the Alexandria database | PBE-GGA | relaxed; space group = Cmmm (65); VASP energy = -4.58 eV/atom
1.0
2.818 0.000 0.000
0.000 4.825 0.000
0.000 0.000 9.564
Si Ag Ir
2 4 2
direct
0.000 0.000 0.000
0.500 0.500 0.000
0.000 0.500 0.246
0.000 0.500 0.754
0.500 0.000 0.246
0.500 0.000 0.754
0.000 0.000 0.500
0.500 0.500 0.500



Entry 30:
SiAg2Ir | the Alexandria database | PBE-GGA | relaxed; space group = C2/m (12); VASP energy = -4.97 eV/atom
1.0
12.962 0.000 0.000
0.000 2.880 0.000
-1.134 0.000 3.689
Si Ag Ir
2 4 2
direct
0.000 0.000 0.000
0.500 0.500 0.000
0.186 0.500 0.187
0.314 0.000 0.813
0.686 0.000 0.187
0.814 0.500 0.813
0.000 0.500 0.500
0.500 0.000 0.500



Short version: mass density = 6.2, 14.8, 14.4, 11.5, 14.3, 6.9, 10.0, 9.3, 11.0, 9.2, 14.4, 11.2, 13.4, 11.0, 9.5, 11.4, 13.9, 9.5, 14.2, 14.0, 11.1, 14.1, 10.7, 11.1, 14.4, 14.5, 9.4, 12.4, 11.1, 10.5 g/cm³, in the order given.
Short version: total moment = 0.0, 0.0, 0.0, 0.0, 0.0, 0.0, 0.0, 0.0, 0.0, 0.0, 0.0, 0.0, 0.0, 0.5, 0.0, 0.0, 0.0, 0.0, 0.0, 0.0, 0.0, 0.0, 0.0, 0.0, 0.0, 0.0, 0.0, 0.0, 0.0, 0.0 Bohr magnetons per cell, in the order given.